Ce2GeAs2N2 | the Alexandria database | PBE-GGA | optimized geometry; space-group type = C2/m, No. 12; magnetization = 0.000 Bohr magnetons per cell; formation energy without anion corrections = -824.0 meV per atom
1.0
5.635 -1.932 0.000
5.635 1.932 0.000
-3.252 0.000 6.028
Ce Ge As N
2 1 2 2
Cartesian
1.382 0.000 1.506 Ce
6.636 0.000 4.522 Ce
-1.626 0.000 3.014 Ge
4.503 0.000 1.126 As
3.515 0.000 4.902 As
0.294 0.000 3.556 N
7.725 0.000 2.472 N